No. 1
{"formula": "EuThMgIn", "functional": "PBE", "state": "relaxed", "m_tot_mub_per_atom": 1.883, "final_energy_ev_per_atom": -5.642, "delta_e_f_mev_per_atom": -135, "n_ef_per_ev_fu": 6.96, "volume_a3_per_cell": 117.8, "lattice": [[5.503, 0.000, 0.000], [2.751, 4.766, 0.000], [2.751, 1.589, 4.493]], "species": ["Eu", "Mg", "Th", "In"], "frac_coords": [[0.250, 0.250, 0.250], [0.000, 0.000, 0.000], [0.750, 0.750, 0.750], [0.500, 0.500, 0.500]]}


No. 2
{"formula": "La3Sm2Tm", "functional": "PBE", "state": "relaxed", "m_tot_mub_per_atom": 0.000, "final_energy_ev_per_atom": -4.750, "delta_e_f_mev_per_atom": 32, "n_ef_per_ev_fu": 7.44, "volume_a3_per_cell": 418.3, "e_above_lowest_polymorph_ev_per_atom": 0.000, "lattice": [[3.634, 5.223, -0.211], [-6.186, 0.481, 1.428], [2.567, -1.319, 11.563]], "species": ["La", "La", "La", "La", "La", "La", "Sm", "Sm", "Sm", "Sm", "Tm", "Tm"], "frac_coords": [[0.669, 0.669, 0.750], [0.000, 0.331, 0.750], [0.331, 0.000, 0.750], [0.331, 0.331, 0.250], [0.000, 0.669, 0.250], [0.669, 0.000, 0.250], [0.667, 0.333, 0.000], [0.333, 0.667, 0.500], [0.333, 0.667, 0.000], [0.667, 0.333, 0.500], [0.000, 0.000, 0.000], [0.000, 0.000, 0.500]]}


No. 3
{"formula": "SrHoPt2", "functional": "PBE", "state": "relaxed", "m_tot_mub_per_atom": 0.000, "final_energy_ev_per_atom": -5.513, "delta_e_f_mev_per_atom": -928, "n_ef_per_ev_fu": 1.58, "volume_a3_per_cell": 90.1, "e_above_lowest_polymorph_ev_per_atom": 0.125, "lattice": [[-3.163, -3.777, 1.029], [0.395, -4.360, -2.483], [1.675, -4.108, 2.377]], "species": ["Sr", "Ho", "Pt", "Pt"], "frac_coords": [[0.500, 0.500, 0.500], [0.000, 0.000, 0.000], [0.250, 0.250, 0.250], [0.750, 0.750, 0.750]]}


No. 4
{"formula": "Zn3Cu6Au", "functional": "PBE", "state": "relaxed", "m_tot_mub_per_atom": 0.000, "final_energy_ev_per_atom": -3.221, "delta_e_f_mev_per_atom": -53, "n_ef_per_ev_fu": 2.00, "volume_a3_per_cell": 267.3, "e_above_lowest_polymorph_ev_per_atom": 0.000, "lattice": [[2.779, 0.000, -0.312], [0.000, 4.445, 0.000], [-0.341, 0.000, 21.677]], "species": ["Zn", "Zn", "Zn", "Zn", "Zn", "Zn", "Cu", "Cu", "Cu", "Cu", "Cu", "Cu", "Cu", "Cu", "Cu", "Cu", "Cu", "Cu", "Au", "Au"], "frac_coords": [[0.301, 0.227, 0.800], [0.500, 0.500, 0.000], [0.699, 0.773, 0.200], [0.801, 0.273, 0.300], [0.000, 0.000, 0.500], [0.199, 0.727, 0.700], [0.396, 0.857, 0.895], [0.601, 0.865, 0.603], [0.201, 0.275, 0.200], [0.799, 0.725, 0.800], [0.399, 0.135, 0.397], [0.604, 0.143, 0.105], [0.896, 0.643, 0.395], [0.101, 0.635, 0.103], [0.701, 0.225, 0.700], [0.299, 0.775, 0.300], [0.899, 0.365, 0.897], [0.104, 0.357, 0.605], [0.500, 0.500, 0.500], [0.000, 0.000, 0.000]]}


No. 5
{"formula": "Dy2MgGe3Pt4", "functional": "PBE", "state": "relaxed", "m_tot_mub_per_atom": 0.000, "final_energy_ev_per_atom": -5.790, "delta_e_f_mev_per_atom": -908, "n_ef_per_ev_fu": 4.62, "volume_a3_per_cell": 189.5, "lattice": [[-3.046, -0.608, 2.768], [1.150, -3.979, 0.391], [6.816, 2.766, 8.108]], "species": ["Dy", "Dy", "Mg", "Ge", "Ge", "Ge", "Pt", "Pt", "Pt", "Pt"], "frac_coords": [[0.500, 0.000, 0.241], [0.000, 0.500, 0.759], [0.500, 0.500, 0.500], [0.000, 0.000, 0.500], [0.500, 0.000, 0.866], [0.000, 0.500, 0.134], [0.500, 0.500, 0.000], [0.000, 0.000, 0.000], [0.500, 0.000, 0.646], [0.000, 0.500, 0.354]]}


No. 6
{"formula": "BaHo2RuN4", "functional": "PBE", "state": "relaxed", "e_form_raw_ev_per_atom": -0.903, "m_tot_mub_per_atom": 0.000, "final_energy_ev_per_atom": -7.610, "n_ef_per_ev_fu": 2.57, "volume_a3_per_cell": 256.0, "lattice": [[3.495, 0.000, 0.000], [-1.748, 6.103, 0.000], [0.000, 0.000, 11.999]], "species": ["Ba", "Ba", "Ho", "Ho", "Ho", "Ho", "Ru", "Ru", "N", "N", "N", "N", "N", "N", "N", "N"], "frac_coords": [[0.078, 0.156, 0.750], [0.922, 0.844, 0.250], [0.370, 0.740, 0.542], [0.630, 0.260, 0.042], [0.630, 0.260, 0.458], [0.370, 0.740, 0.958], [0.814, 0.627, 0.750], [0.186, 0.373, 0.250], [0.255, 0.509, 0.108], [0.745, 0.491, 0.608], [0.745, 0.491, 0.892], [0.255, 0.509, 0.392], [0.000, 0.000, 0.500], [0.000, 0.000, 0.000], [0.395, 0.789, 0.750], [0.605, 0.211, 0.250]]}


No. 7
{"formula": "LiMg2ScSe4", "functional": "PBE", "state": "relaxed", "e_form_raw_ev_per_atom": -1.385, "m_tot_mub_per_atom": 0.000, "final_energy_ev_per_atom": -4.557, "volume_a3_per_cell": 165.7, "lattice": [[3.903, 0.000, 0.000], [0.000, 6.698, 0.180], [0.000, -2.282, 6.276]], "species": ["Li", "Mg", "Mg", "Sc", "Se", "Se", "Se", "Se"], "frac_coords": [[0.500, 0.500, 0.000], [0.500, 0.000, 0.500], [0.000, 0.500, 0.500], [0.000, 0.000, 0.000], [0.500, 0.249, 0.245], [0.500, 0.751, 0.755], [0.000, 0.244, 0.746], [0.000, 0.756, 0.254]]}


No. 8
{"formula": "Ac8Tl6Sn", "functional": "PBE", "state": "relaxed", "m_tot_mub_per_atom": 0.000, "final_energy_ev_per_atom": -3.652, "delta_e_f_mev_per_atom": -248, "n_ef_per_ev_fu": 19.19, "volume_a3_per_cell": 608.7, "lattice": [[10.387, 0.000, 0.000], [5.193, 8.995, 0.000], [5.193, 2.998, 6.515]], "species": ["Ac", "Ac", "Ac", "Ac", "Ac", "Ac", "Ac", "Ac", "Tl", "Tl", "Tl", "Tl", "Tl", "Tl", "Sn"], "frac_coords": [[0.652, 0.168, 0.286], [0.832, 0.106, 0.714], [0.106, 0.348, 0.714], [0.682, 0.682, 0.955], [0.318, 0.318, 0.045], [0.894, 0.652, 0.286], [0.168, 0.894, 0.286], [0.348, 0.832, 0.714], [0.463, 0.076, 0.795], [0.924, 0.334, 0.205], [0.334, 0.537, 0.205], [0.666, 0.463, 0.795], [0.076, 0.666, 0.795], [0.537, 0.924, 0.205], [0.000, 0.000, 0.000]]}


No. 9
{"formula": "CaTiSeBr2", "functional": "PBE", "state": "relaxed", "e_form_raw_ev_per_atom": -1.034, "m_tot_mub_per_atom": 0.379, "final_energy_ev_per_atom": -4.380, "n_ef_per_ev_fu": 3.44, "volume_a3_per_cell": 137.6, "e_above_lowest_polymorph_ev_per_atom": 0.000, "lattice": [[5.185, 0.000, 0.000], [0.000, 5.185, 0.000], [0.000, 0.000, 5.120]], "species": ["Ca", "Se", "Br", "Br", "Ti"], "frac_coords": [[0.500, 0.500, 0.500], [0.000, 0.000, 0.500], [0.000, 0.500, 0.000], [0.500, 0.000, 0.000], [0.000, 0.000, 0.000]]}


No. 10
{"formula": "Cd2CuPd", "functional": "PBE", "state": "relaxed", "m_tot_mub_per_atom": 0.000, "final_energy_ev_per_atom": -2.835, "delta_e_f_mev_per_atom": -55, "n_ef_per_ev_fu": 2.31, "volume_a3_per_cell": 69.9, "lattice": [[3.025, 0.000, 0.000], [1.513, 2.620, 0.000], [1.513, 0.873, 8.818]], "species": ["Cd", "Cd", "Cu", "Pd"], "frac_coords": [[0.085, 0.085, 0.746], [0.249, 0.249, 0.254], [0.500, 0.500, 0.500], [0.667, 0.667, 0.000]]}


No. 11
{"formula": "YIrI2N", "functional": "PBE", "state": "relaxed", "e_form_raw_ev_per_atom": 0.910, "m_tot_mub_per_atom": 0.505, "final_energy_ev_per_atom": -4.440, "n_ef_per_ev_fu": 6.49, "volume_a3_per_cell": 148.4, "e_above_lowest_polymorph_ev_per_atom": 0.851, "lattice": [[-5.708, -1.573, -1.240], [1.927, -3.298, -4.690], [0.364, -3.232, 2.422]], "species": ["I", "I", "Y", "Ir", "N"], "frac_coords": [[0.000, 0.500, 0.000], [0.500, 0.000, 0.000], [0.000, 0.000, 0.000], [0.500, 0.500, 0.500], [0.000, 0.000, 0.500]]}


No. 12
{"formula": "AgIrO2F", "functional": "PBE", "state": "relaxed", "e_form_raw_ev_per_atom": 0.876, "m_tot_mub_per_atom": 0.655, "final_energy_ev_per_atom": -3.824, "n_ef_per_ev_fu": 6.39, "volume_a3_per_cell": 69.8, "lattice": [[-1.913, -0.364, -3.656], [3.673, -0.020, -1.920], [0.149, -4.049, 0.326]], "species": ["Ir", "O", "O", "Ag", "F"], "frac_coords": [[0.500, 0.500, 0.500], [0.000, 0.500, 0.000], [0.500, 0.000, 0.000], [0.000, 0.000, 0.000], [0.000, 0.000, 0.500]]}


No. 13
{"formula": "CaCu3Pt", "functional": "PBE", "state": "relaxed", "m_tot_mub_per_atom": 0.000, "final_energy_ev_per_atom": -3.926, "delta_e_f_mev_per_atom": 140, "n_ef_per_ev_fu": 1.44, "volume_a3_per_cell": 107.2, "e_above_lowest_polymorph_ev_per_atom": 0.000, "lattice": [[4.751, 0.000, 0.000], [0.000, 4.751, 0.000], [0.000, 0.000, 4.751]], "species": ["Ca", "Cu", "Cu", "Cu", "Pt"], "frac_coords": [[0.500, 0.500, 0.500], [0.000, 0.500, 0.000], [0.000, 0.000, 0.500], [0.500, 0.000, 0.000], [0.000, 0.000, 0.000]]}


No. 14
{"formula": "ReAuSe2", "functional": "PBE", "state": "relaxed", "e_form_raw_ev_per_atom": 0.305, "m_tot_mub_per_atom": 0.000, "final_energy_ev_per_atom": -5.369, "n_ef_per_ev_fu": 2.13, "volume_a3_per_cell": 88.6, "e_above_lowest_polymorph_ev_per_atom": 0.192, "lattice": [[-1.528, 0.676, 3.222], [-2.631, -1.946, -0.839], [2.033, -6.735, 2.377]], "species": ["Au", "Re", "Se", "Se"], "frac_coords": [[0.000, 0.555, 0.515], [0.500, 0.962, 0.701], [0.000, 0.847, 0.927], [0.500, 0.135, 0.357]]}


No. 15
{"formula": "Zn2FeIr", "functional": "PBE", "state": "relaxed", "m_tot_mub_per_atom": 0.737, "final_energy_ev_per_atom": -4.623, "delta_e_f_mev_per_atom": 345, "n_ef_per_ev_fu": 2.28, "volume_a3_per_cell": 119.6, "lattice": [[6.822, 0.000, 0.000], [0.000, 6.822, 0.000], [3.411, 3.411, 2.569]], "species": ["Zn", "Zn", "Zn", "Zn", "Ir", "Ir", "Fe", "Fe"], "frac_coords": [[0.619, 0.125, 0.250], [0.131, 0.625, 0.250], [0.375, 0.381, 0.750], [0.875, 0.869, 0.750], [0.000, 0.000, 0.000], [0.750, 0.250, 0.500], [0.500, 0.500, 0.000], [0.250, 0.750, 0.500]]}


No. 16
{"formula": "Ac6Te3Pb2S", "functional": "PBE", "state": "relaxed", "e_form_raw_ev_per_atom": -1.271, "m_tot_mub_per_atom": 0.000, "final_energy_ev_per_atom": -5.072, "n_ef_per_ev_fu": 4.84, "volume_a3_per_cell": 450.3, "lattice": [[-3.855, -1.260, 2.470], [-1.908, -6.697, -6.394], [7.933, -4.140, 5.705]], "species": ["Ac", "Ac", "Ac", "Ac", "Ac", "Ac", "Te", "Te", "Te", "Pb", "Pb", "S"], "frac_coords": [[0.342, 0.919, 0.685], [0.668, 0.577, 0.337], [0.658, 0.081, 0.315], [0.001, 0.230, 0.001], [0.999, 0.770, 0.999], [0.332, 0.423, 0.663], [0.500, 0.500, 0.000], [0.831, 0.167, 0.662], [0.169, 0.833, 0.338], [0.836, 0.673, 0.672], [0.164, 0.327, 0.328], [0.500, 0.000, 0.000]]}


No. 17
{"formula": "K2InAu", "functional": "PBE", "state": "relaxed", "m_tot_mub_per_atom": 0.000, "final_energy_ev_per_atom": -2.271, "delta_e_f_mev_per_atom": -218, "n_ef_per_ev_fu": 2.23, "volume_a3_per_cell": 280.4, "lattice": [[-0.915, -4.108, 4.924], [-4.517, -3.310, -3.601], [5.660, -3.138, -1.566]], "species": ["K", "K", "K", "K", "In", "In", "Au", "Au"], "frac_coords": [[0.750, 0.965, 0.320], [0.250, 0.035, 0.680], [0.250, 0.680, 0.035], [0.750, 0.320, 0.965], [0.500, 0.500, 0.500], [0.000, 0.500, 0.500], [0.250, 0.219, 0.219], [0.750, 0.781, 0.781]]}


No. 18
{"formula": "Tb3EuC", "functional": "PBE", "state": "relaxed", "m_tot_mub_per_atom": 1.581, "final_energy_ev_per_atom": -6.645, "delta_e_f_mev_per_atom": 32, "n_ef_per_ev_fu": 5.09, "volume_a3_per_cell": 135.1, "lattice": [[5.131, 0.000, 0.000], [0.000, 5.131, 0.000], [0.000, 0.000, 5.131]], "species": ["Eu", "C", "Tb", "Tb", "Tb"], "frac_coords": [[0.500, 0.500, 0.500], [0.000, 0.000, 0.000], [0.000, 0.500, 0.000], [0.000, 0.000, 0.500], [0.500, 0.000, 0.000]]}


No. 19
{"formula": "Mn2NbOs", "functional": "PBE", "state": "relaxed", "m_tot_mub_per_atom": 0.904, "final_energy_ev_per_atom": -9.866, "delta_e_f_mev_per_atom": 44, "n_ef_per_ev_fu": 5.60, "volume_a3_per_cell": 56.1, "e_above_lowest_polymorph_ev_per_atom": 0.066, "lattice": [[0.000, 3.038, 3.038], [3.038, 0.000, 3.038], [3.038, 3.038, 0.000]], "species": ["Nb", "Mn", "Mn", "Os"], "frac_coords": [[0.000, 0.000, 0.000], [0.250, 0.250, 0.250], [0.750, 0.750, 0.750], [0.500, 0.500, 0.500]]}


No. 20
{"formula": "TbSm2I", "functional": "PBE", "state": "relaxed", "e_form_raw_ev_per_atom": -0.077, "m_tot_mub_per_atom": 0.291, "final_energy_ev_per_atom": -3.982, "n_ef_per_ev_fu": 6.17, "volume_a3_per_cell": 135.5, "e_above_lowest_polymorph_ev_per_atom": 0.318, "lattice": [[-1.558, 2.218, 2.424], [-3.176, -0.910, 1.518], [4.182, -5.080, 10.061]], "species": ["I", "Tb", "Sm", "Sm"], "frac_coords": [[0.500, 0.500, 0.500], [0.000, 0.000, 0.000], [0.095, 0.095, 0.714], [0.905, 0.905, 0.286]]}